# 1
Compound: Li2CaNpO6
Source: the Alexandria database
Functional: GGA-PBE
Structure: optimized geometry

Lattice parameters (Å, degrees): 5.3326 5.3326 16.1264 90.00 90.00 120.00
Space group R-3 (No. 148, hexagonal axes)
Unique sites:
Li 0.0000 0.0000 0.1899 (multiplicity 6)
Ca 0.0000 0.0000 0.0000 (multiplicity 3)
Np 0.0000 0.0000 0.5000 (multiplicity 3)
O 0.0086 0.6454 0.2339 (multiplicity 18)

Calculated values
energy	-7.202	eV/atom
raw formation energy	-2350	meV per atom

=====

# 2
Compound: Li2Ca3NpO6
Source: the Alexandria database
Functional: GGA-PBE
Structure: optimized geometry

Lattice parameters (Å, degrees): 5.7643 10.0495 5.7496 90.00 108.78 90.00
Space group C2/m (No. 12)
Unique sites:
Li 0.0000 0.1651 0.0000 (multiplicity 4)
Ca 0.0000 0.0000 0.5000 (multiplicity 2)
Ca 0.0000 0.3247 0.5000 (multiplicity 4)
Np 0.0000 0.5000 0.0000 (multiplicity 2)
O 0.2320 0.5000 0.7570 (multiplicity 4)
O 0.2430 0.3416 0.2448 (multiplicity 8)

Calculated values
energy	-7.037	eV/atom
raw formation energy	-2660	meV per atom

=====

# 3
Compound: Li3Ca2NpO6
Source: the Alexandria database
Functional: GGA-PBE
Structure: optimized geometry

Lattice parameters (Å, degrees): 5.7709 10.2907 5.4067 90.00 109.01 90.00
Space group C2/m (No. 12)
Unique sites:
Li 0.0000 0.0000 0.0000 (multiplicity 2)
Li 0.0000 0.3653 0.0000 (multiplicity 4)
Ca 0.0000 0.1684 0.5000 (multiplicity 4)
Np 0.0000 0.5000 0.5000 (multiplicity 2)
O 0.2208 0.3504 0.7351 (multiplicity 8)
O 0.2384 0.5000 0.2586 (multiplicity 4)

Calculated values
energy	-6.940	eV/atom
raw formation energy	-2570	meV per atom

=====

# 4
Compound: LiCaNpO4
Source: the Alexandria database
Functional: GGA-PBE
Structure: optimized geometry

Lattice parameters (Å, degrees): 6.7878 6.8485 9.4444 90.00 90.00 90.00
Space group Imma (No. 74)
Unique sites:
Li 0.0000 0.2500 0.1642 (multiplicity 4)
Ca 0.2500 0.2500 0.7500 (multiplicity 4)
Np 0.0000 0.0000 0.5000 (multiplicity 4)
O 0.0000 0.0107 0.7173 (multiplicity 8)
O 0.2072 0.2500 0.5037 (multiplicity 8)

Calculated values
energy	-7.989	eV/atom
raw formation energy	-2747	meV per atom

=====

# 5
Compound: Li2CaNpO4
Source: the Alexandria database
Functional: GGA-PBE
Structure: optimized geometry

Lattice parameters (Å, degrees): 4.5066 4.5066 10.3993 90.00 90.00 90.00
Space group I-4m2 (No. 119)
Unique sites:
Li 0.0000 0.0000 0.0000 (multiplicity 2)
Li 0.0000 0.5000 0.2500 (multiplicity 2)
Ca 0.0000 0.5000 0.7500 (multiplicity 2)
Np 0.0000 0.0000 0.5000 (multiplicity 2)
O 0.0000 0.0000 0.2900 (multiplicity 4)
O 0.0000 0.5000 0.5124 (multiplicity 4)

Calculated values
energy	-7.385	eV/atom
raw formation energy	-2560	meV per atom

=====

# 6
Compound: Li2Ca2NpO6
Source: the Alexandria database
Functional: GGA-PBE
Structure: optimized geometry

Lattice parameters (Å, degrees): 5.9137 10.2976 5.3123 90.00 104.59 90.00
Space group C2/m (No. 12)
Unique sites:
Li 0.0000 0.1352 0.0000 (multiplicity 4)
Ca 0.0000 0.3349 0.5000 (multiplicity 4)
Np 0.0000 0.0000 0.5000 (multiplicity 2)
O 0.1876 0.1527 0.7177 (multiplicity 8)
O 0.2301 0.0000 0.2704 (multiplicity 4)

Calculated values
energy	-7.262	eV/atom
raw formation energy	-2670	meV per atom

=====

# 7
Compound: LiCa3Np3S8
Source: the Alexandria database
Functional: GGA-PBE
Structure: optimized geometry

Lattice parameters (Å, degrees): 13.7002 7.8704 7.9819 90.00 124.78 90.00
Space group C2/m (No. 12)
Unique sites:
Li 0.0000 0.0000 0.0000 (multiplicity 2)
Ca 0.0000 0.0000 0.5000 (multiplicity 2)
Ca 0.2500 0.2500 0.5000 (multiplicity 4)
Np 0.0000 0.5000 0.0000 (multiplicity 2)
Np 0.2500 0.2500 0.0000 (multiplicity 4)
S 0.0049 0.2481 0.7660 (multiplicity 8)
S 0.2434 0.0000 0.2329 (multiplicity 4)
S 0.2500 0.0000 0.7510 (multiplicity 4)

Calculated values
energy	-6.884	eV/atom
raw formation energy	-1567	meV per atom

=====

# 8
Compound: LiCa2Np2S6
Source: the Alexandria database
Functional: GGA-PBE
Structure: optimized geometry

Lattice parameters (Å, degrees): 6.7617 12.1708 6.8617 90.00 107.86 90.00
Space group C2/m (No. 12)
Unique sites:
Li 0.0000 0.0000 0.0000 (multiplicity 2)
Ca 0.0000 0.1598 0.5000 (multiplicity 4)
Np 0.0000 0.3383 0.0000 (multiplicity 4)
S 0.2455 0.1820 0.2348 (multiplicity 8)
S 0.2474 0.0000 0.7754 (multiplicity 4)

Calculated values
energy	-6.761	eV/atom
raw formation energy	-1619	meV per atom

=====

# 9
Compound: Li2CaNpS4
Source: the Alexandria database
Functional: GGA-PBE
Structure: optimized geometry

Lattice parameters (Å, degrees): 5.4524 5.4524 11.2683 90.00 90.00 90.00
Space group I-4m2 (No. 119)
Unique sites:
Li 0.0000 0.0000 0.0000 (multiplicity 2)
Li 0.0000 0.5000 0.2500 (multiplicity 2)
Ca 0.0000 0.5000 0.7500 (multiplicity 2)
Np 0.0000 0.0000 0.5000 (multiplicity 2)
S 0.0000 0.0000 0.2669 (multiplicity 4)
S 0.0000 0.5000 0.0016 (multiplicity 4)

Calculated values
energy	-5.913	eV/atom
raw formation energy	-1503	meV per atom

=====

# 10
Compound: LiCa2NpS4
Source: the Alexandria database
Functional: GGA-PBE
Structure: optimized geometry

Lattice parameters (Å, degrees): 6.8277 3.9873 6.8915 90.00 108.94 90.00
Space group P2/m (No. 10)
Unique sites:
Li 0.0000 0.0000 0.0000 (multiplicity 1)
Ca 0.0000 0.5000 0.5000 (multiplicity 1)
Ca 0.5000 0.0000 0.5000 (multiplicity 1)
Np 0.5000 0.5000 0.0000 (multiplicity 1)
S 0.2513 0.0000 0.7579 (multiplicity 2)
S 0.2515 0.5000 0.2431 (multiplicity 2)

Calculated values
energy	-6.131	eV/atom
raw formation energy	-1710	meV per atom

=====

# 11
Compound: Li3CaNp2S6
Source: the Alexandria database
Functional: GGA-PBE
Structure: optimized geometry

Lattice parameters (Å, degrees): 16.6394 3.9533 7.6909 90.00 100.67 90.00
Space group C2/m (No. 12)
Unique sites:
Li 0.0000 0.0000 0.0000 (multiplicity 2)
Li 0.1646 0.5000 0.3321 (multiplicity 4)
Ca 0.0000 0.0000 0.5000 (multiplicity 2)
Np 0.1641 0.5000 0.8301 (multiplicity 4)
S 0.0013 0.5000 0.7602 (multiplicity 4)
S 0.1689 0.0000 0.0783 (multiplicity 4)
S 0.1718 0.0000 0.5909 (multiplicity 4)

Calculated values
energy	-6.341	eV/atom
raw formation energy	-1476	meV per atom

=====

# 12
Compound: LiCaNpS3
Source: the Alexandria database
Functional: GGA-PBE
Structure: optimized geometry

Lattice parameters (Å, degrees): 8.1624 3.9232 8.4270 90.00 101.31 90.00
Space group P2_1/m (No. 11)
Unique sites:
Li 0.0852 0.2500 0.0811 (multiplicity 2)
Ca 0.1801 0.2500 0.7239 (multiplicity 2)
Np 0.3344 0.7500 0.3311 (multiplicity 2)
S 0.1042 0.2500 0.3649 (multiplicity 2)
S 0.2129 0.7500 0.9997 (multiplicity 2)
S 0.4270 0.7500 0.6638 (multiplicity 2)

Calculated values
energy	-6.409	eV/atom
raw formation energy	-1536	meV per atom

=====

# 13
Compound: Li2CaNp3Se6
Source: the Alexandria database
Functional: GGA-PBE
Structure: optimized geometry

Lattice parameters (Å, degrees): 17.9717 4.1103 8.2140 90.00 102.72 90.00
Space group C2/m (No. 12)
Unique sites:
Li 0.1719 0.0000 0.3401 (multiplicity 4)
Ca 0.0000 0.5000 0.0000 (multiplicity 2)
Np 0.0000 0.5000 0.5000 (multiplicity 2)
Np 0.1694 0.0000 0.8288 (multiplicity 4)
Se 0.0005 0.0000 0.2515 (multiplicity 4)
Se 0.1669 0.5000 0.0823 (multiplicity 4)
Se 0.1681 0.5000 0.5778 (multiplicity 4)

Calculated values
energy	-6.729	eV/atom
raw formation energy	-1266	meV per atom

=====

# 14
Compound: LiCa2NpSe4
Source: the Alexandria database
Functional: GGA-PBE
Structure: optimized geometry

Lattice parameters (Å, degrees): 7.1488 4.1673 7.2002 90.00 108.93 90.00
Space group P2/m (No. 10)
Unique sites:
Li 0.0000 0.0000 0.0000 (multiplicity 1)
Ca 0.0000 0.5000 0.5000 (multiplicity 1)
Ca 0.5000 0.0000 0.5000 (multiplicity 1)
Np 0.5000 0.5000 0.0000 (multiplicity 1)
Se 0.2492 0.0000 0.7571 (multiplicity 2)
Se 0.2490 0.5000 0.2430 (multiplicity 2)

Calculated values
energy	-5.670	eV/atom
raw formation energy	-1570	meV per atom

=====

# 15
Compound: LiCaNpSe3
Source: the Alexandria database
Functional: GGA-PBE
Structure: optimized geometry

Lattice parameters (Å, degrees): 8.5067 4.0912 8.8606 90.00 101.89 90.00
Space group P2_1/m (No. 11)
Unique sites:
Li 0.0848 0.2500 0.0821 (multiplicity 2)
Ca 0.1822 0.2500 0.7287 (multiplicity 2)
Np 0.3321 0.7500 0.3337 (multiplicity 2)
Se 0.0991 0.2500 0.3672 (multiplicity 2)
Se 0.2195 0.7500 0.0008 (multiplicity 2)
Se 0.4276 0.7500 0.6680 (multiplicity 2)

Calculated values
energy	-5.941	eV/atom
raw formation energy	-1389	meV per atom

=====

# 16
Compound: LiCa3Np3Se8
Source: the Alexandria database
Functional: GGA-PBE
Structure: optimized geometry

Lattice parameters (Å, degrees): 8.2157 8.2157 20.4888 90.00 90.00 120.00
Space group R-3m (No. 166, hexagonal axes)
Unique sites:
Li 0.0000 0.0000 0.0000 (multiplicity 3)
Ca 0.0000 0.5000 0.5000 (multiplicity 9)
Np 0.0000 0.5000 0.0000 (multiplicity 9)
Se 0.0000 0.0000 0.2505 (multiplicity 6)
Se 0.0000 0.5000 0.2544 (multiplicity 18)

Calculated values
energy	-6.404	eV/atom
raw formation energy	-1429	meV per atom

=====

# 17
Compound: LiCa2O
Source: the Alexandria database
Functional: GGA-PBE
Structure: optimized geometry

Lattice parameters (Å, degrees): 6.9090 6.9090 9.4956 90.00 90.00 90.00
Space group I-42d (No. 122)
Unique sites:
Li 0.0000 0.0000 0.0000 (multiplicity 4)
Ca 0.1069 0.7500 0.6250 (multiplicity 8)
O 0.0000 0.0000 0.5000 (multiplicity 4)

Calculated values
energy	-4.034	eV/atom
raw formation energy	-1315	meV per atom

=====

# 18
Compound: LiCa3O4
Source: the Alexandria database
Functional: GGA-PBE
Structure: optimized geometry

Lattice parameters (Å, degrees): 3.3657 3.3657 9.5316 90.00 90.00 90.00
Space group P4/mmm (No. 123)
Unique sites:
Li 0.0000 0.0000 0.0000 (multiplicity 1)
Ca 0.0000 0.0000 0.5000 (multiplicity 1)
Ca 0.5000 0.5000 0.2370 (multiplicity 2)
O 0.0000 0.0000 0.2493 (multiplicity 2)
O 0.5000 0.5000 0.0000 (multiplicity 1)
O 0.5000 0.5000 0.5000 (multiplicity 1)

Calculated values
energy	-5.911	eV/atom
raw formation energy	-2442	meV per atom

=====

# 19
Compound: LiCa2O2
Source: the Alexandria database
Functional: GGA-PBE
Structure: optimized geometry

Lattice parameters (Å, degrees): 8.1156 8.1156 4.8776 90.00 90.00 90.00
Space group I4/mcm (No. 140)
Unique sites:
Li 0.0000 0.0000 0.2500 (multiplicity 4)
Ca 0.1478 0.3522 0.0000 (multiplicity 8)
O 0.1467 0.3533 0.5000 (multiplicity 8)

Calculated values
energy	-5.179	eV/atom
raw formation energy	-2012	meV per atom

=====

# 20
Compound: Li2CaOsO6
Source: the Alexandria database
Functional: GGA-PBE
Structure: optimized geometry

Lattice parameters (Å, degrees): 5.3643 5.4835 9.4592 90.00 124.10 90.00
Space group P2_1/c (No. 14)
Unique sites:
Li 0.2016 0.0255 0.2309 (multiplicity 4)
Ca 0.0000 0.0000 0.5000 (multiplicity 2)
Os 0.5000 0.0000 0.0000 (multiplicity 2)
O 0.1643 0.0966 0.7812 (multiplicity 4)
O 0.2412 0.6374 0.5503 (multiplicity 4)
O 0.4747 0.2043 0.5881 (multiplicity 4)

Calculated values
energy	-6.373	eV/atom
raw formation energy	-1692	meV per atom